Entry 1:
Pm2PrTm3Se6 | PBE-GGA | relaxed

**Mass density**: 7901 kg/m³
**Total moment**: 0.000 μB/f.u.

Lattice parameters (Å, degrees): 4.050 8.392 9.291 105.39 102.59 90.00
Fractional positions:
Pm: 0.834 0.668 0.668
Pm: 0.166 0.332 0.332
Pr: 0.500 0.000 0.000
Tm: 0.500 0.500 0.000
Tm: 0.834 0.167 0.669
Tm: 0.166 0.833 0.331
Se: 0.328 0.926 0.655
Se: 0.663 0.593 0.326
Se: 0.672 0.074 0.345
Se: 0.996 0.264 0.993
Se: 0.004 0.736 0.007
Se: 0.337 0.407 0.674



Entry 2:
PmPr2TmSe4 | PBE-GGA | relaxed

**Mass density**: 7282 kg/m³
**Total moment**: 0.000 μB/f.u.

Lattice parameters (Å, degrees): 4.113 7.216 7.388 108.56 90.00 90.00
Fractional positions:
Pm: 0.500 0.500 0.000
Pr: 0.500 0.000 0.500
Pr: 0.000 0.500 0.500
Tm: 0.000 0.000 0.000
Se: 0.500 0.236 0.232
Se: 0.500 0.764 0.768
Se: 0.000 0.246 0.762
Se: 0.000 0.754 0.238



Entry 3:
PmPr2TmSe5 | PBE-GGA | relaxed

**Mass density**: 5875 kg/m³
**Total moment**: 0.000 μB/f.u.

Lattice parameters (Å, degrees): 5.069 5.069 10.895 90.00 90.00 90.00
Fractional positions:
Pm: 0.000 0.000 0.000
Pr: 0.500 0.500 0.314
Pr: 0.500 0.500 0.686
Tm: 0.000 0.000 0.500
Se: 0.000 0.500 0.500
Se: 0.500 0.000 0.500
Se: 0.000 0.000 0.750
Se: 0.000 0.000 0.250
Se: 0.500 0.500 0.000



Entry 4:
Pm3Pr3TmSe8 | PBE-GGA | relaxed

**Mass density**: 6527 kg/m³
**Total moment**: 0.000 μB/f.u.

Lattice parameters (Å, degrees): 8.401 8.402 8.436 119.87 90.00 120.00
Fractional positions:
Pm: 0.500 0.000 0.500
Pm: 0.500 0.500 0.500
Pm: 0.000 0.500 0.500
Pr: 0.000 0.000 0.000
Pr: 0.000 0.500 0.000
Pr: 0.500 0.500 0.000
Tm: 0.000 0.000 0.500
Se: 0.252 0.504 0.256
Se: 0.748 0.496 0.744
Se: 0.757 0.514 0.261
Se: 0.243 0.486 0.739
Se: 0.757 0.004 0.261
Se: 0.243 0.996 0.739
Se: 0.246 0.004 0.261
Se: 0.754 0.996 0.739



| no. | DFT total energy (Ry per atom) |
| --- | --- |
| 1 | -0.427 |
| 2 | -0.433 |
| 3 | -0.394 |
| 4 | -0.436 |